This record from Alexandria describes a relaxed VTeHN2 crystal. The functional is PBE.

Computed properties:
Its density of states at the Fermi level is 3.2 states/eV/cell. The calculation puts the energy at -5.794 eV per atom. The value obtained for the spin magnetization is 0.442 μB/cell.

Cell: 3.670 3.670 5.589 Å, 90.00 90.00 90.00°
Site moments in Bohr magnetons follow the coordinates.
Fractional coordinates of all 5 atoms:
N 0.500 0.000 0.000  0.19
H 0.500 0.500 0.500  0.00
N 0.000 0.500 0.000  0.19
Te 0.000 0.000 0.500  0.02
V 0.000 0.000 0.000  -0.10